Material: Cs2NbPdCl6
Method: DFT, PBE-GGA
State: relaxed

```
data_Cs2NbPdCl6
_cell_length_a 10.3695
_cell_length_b 10.3695
_cell_length_c 10.3695
_cell_angle_alpha 90.00
_cell_angle_beta 90.00
_cell_angle_gamma 90.00
_symmetry_space_group_name_H-M 'F m -3 m'
_symmetry_Int_Tables_number 225
_symmetry_space_group_name_Hall '-F 4 2 3'
loop_
_atom_site_label
_atom_site_fract_x
_atom_site_fract_y
_atom_site_fract_z
_atom_site_occupancy
Cs1 0.2500 0.2500 0.2500 1
Nb1 0.0000 0.0000 0.0000 1
Pd1 0.0000 0.0000 0.5000 1
Cl1 0.0000 0.0000 0.2386 1
```

Values from the calculation:
Energy, eV for the cell shown: -163.0

Material: Cs2NiCl5
Method: DFT, PBE-GGA
State: relaxed

```
data_Cs2NiCl5
_cell_length_a 7.3563
_cell_length_b 7.3563
_cell_length_c 9.8931
_cell_angle_alpha 90.00
_cell_angle_beta 90.00
_cell_angle_gamma 90.00
_symmetry_space_group_name_H-M 'I 4 m m'
_symmetry_Int_Tables_number 107
_symmetry_space_group_name_Hall 'I 4 -2'
loop_
_atom_site_label
_atom_site_fract_x
_atom_site_fract_y
_atom_site_fract_z
_atom_site_occupancy
Cs1 0.0000 0.5000 0.0000 1
Ni1 0.0000 0.0000 0.2257 1
Cl1 0.0000 0.0000 0.9911 1
Cl2 0.2123 0.2123 0.2526 1
```

Values from the calculation:
Polymorph energy (0 for the lowest one), meV/atom: 3

Material: CsNiCl3
Method: DFT, PBE-GGA
State: relaxed

```
data_CsNiCl3
_cell_length_a 7.1884
_cell_length_b 7.1884
_cell_length_c 5.9353
_cell_angle_alpha 90.00
_cell_angle_beta 90.00
_cell_angle_gamma 120.00
_symmetry_space_group_name_H-M 'P 63/m m c'
_symmetry_Int_Tables_number 194
_symmetry_space_group_name_Hall '-P 6c 2c'
loop_
_atom_site_label
_atom_site_fract_x
_atom_site_fract_y
_atom_site_fract_z
_atom_site_occupancy
Cs1 0.3333 0.6667 0.2500 1
Ni1 0.0000 0.0000 0.0000 1
Cl1 0.1527 0.3055 0.7500 1
```

Values from the calculation:
Energy, eV for the cell shown: -35.9

Material: Cs2NiCl5
Method: DFT, PBE-GGA
State: relaxed

```
data_Cs2NiCl5
_cell_length_a 7.1606
_cell_length_b 7.1606
_cell_length_c 5.0276
_cell_angle_alpha 90.00
_cell_angle_beta 90.00
_cell_angle_gamma 90.00
_symmetry_space_group_name_H-M 'P 4/m m m'
_symmetry_Int_Tables_number 123
_symmetry_space_group_name_Hall '-P 4 2'
loop_
_atom_site_label
_atom_site_fract_x
_atom_site_fract_y
_atom_site_fract_z
_atom_site_occupancy
Cs1 0.0000 0.5000 0.0000 1
Ni1 0.0000 0.0000 0.5000 1
Cl1 0.0000 0.0000 0.0000 1
Cl2 0.2211 0.2211 0.5000 1
```

Values from the calculation:
Polymorph energy (0 for the lowest one), meV/atom: 0

Material: Cs2RbNiCl6
Method: DFT, PBE-GGA
State: relaxed

```
data_Cs2RbNiCl6
_cell_length_a 10.7682
_cell_length_b 10.7682
_cell_length_c 10.7682
_cell_angle_alpha 90.00
_cell_angle_beta 90.00
_cell_angle_gamma 90.00
_symmetry_space_group_name_H-M 'F m -3 m'
_symmetry_Int_Tables_number 225
_symmetry_space_group_name_Hall '-F 4 2 3'
loop_
_atom_site_label
_atom_site_fract_x
_atom_site_fract_y
_atom_site_fract_z
_atom_site_occupancy
Cs1 0.2500 0.2500 0.2500 1
Rb1 0.0000 0.0000 0.0000 1
Ni1 0.0000 0.0000 0.5000 1
Cl1 0.0000 0.0000 0.2847 1
```

Values from the calculation:
Energy, eV for the cell shown: -131.9

Material: Cs2NiSnCl6
Method: DFT, PBE-GGA
State: relaxed

```
data_Cs2NiSnCl6
_cell_length_a 10.4099
_cell_length_b 10.4099
_cell_length_c 10.4099
_cell_angle_alpha 90.00
_cell_angle_beta 90.00
_cell_angle_gamma 90.00
_symmetry_space_group_name_H-M 'F m -3 m'
_symmetry_Int_Tables_number 225
_symmetry_space_group_name_Hall '-F 4 2 3'
loop_
_atom_site_label
_atom_site_fract_x
_atom_site_fract_y
_atom_site_fract_z
_atom_site_occupancy
Cs1 0.2500 0.2500 0.2500 1
Ni1 0.0000 0.0000 0.0000 1
Sn1 0.0000 0.0000 0.5000 1
Cl1 0.0000 0.0000 0.2339 1
```

Values from the calculation:
Energy, eV for the cell shown: -141.0

Question: What is the formula in the first record?
Answer: Cs2NbPdCl6

Question: Number 3 is which compound?
Answer: CsNiCl3